[1]
# Tb3Nd3Si4 | Alexandria via LeMat-Bulk | GGA-PBE | relaxed
# * uncorrected energy: -112.440 eV per cell
# * total magnetic moment: 0.0 Bohr magnetons per cell
# * density of states at the Fermi level: 10.3 states/eV/f.u.
# * crystal system: orthorhombic
data_Tb3Nd3Si4
_symmetry_space_group_name_H-M 'A m m 2'
_symmetry_Int_Tables_number 38
_symmetry_space_group_name_Hall 'A 2 -2'
_cell_length_a 4.218
_cell_length_b 10.720
_cell_length_c 11.059
_cell_angle_alpha 90.00
_cell_angle_beta 90.00
_cell_angle_gamma 90.00
loop_
_atom_site_label
_atom_site_type_symbol
_atom_site_fract_x
_atom_site_fract_y
_atom_site_fract_z
Tb1 Tb 0.000 0.000 0.000
Tb2 Tb 0.000 0.176 0.684
Nd1 Nd 0.000 0.000 0.351
Nd2 Nd 0.500 0.241 0.429
Si1 Si 0.500 0.000 0.577
Si2 Si 0.500 0.000 0.799
Si3 Si 0.500 0.113 0.171


[2]
# TbNd2Si6 | Alexandria via LeMat-Bulk | GGA-PBE | relaxed
# * uncorrected energy: -51.758 eV per cell
# * total magnetic moment: 0.0 Bohr magnetons per cell
# * density of states at the Fermi level: 6.5 states/eV/f.u.
# * crystal system: hexagonal
data_TbNd2Si6
_symmetry_space_group_name_H-M 'P 6/m m m'
_symmetry_Int_Tables_number 191
_symmetry_space_group_name_Hall '-P 6 2'
_cell_length_a 7.1496
_cell_length_b 7.1496
_cell_length_c 4.1007
_cell_angle_alpha 90.00
_cell_angle_beta 90.00
_cell_angle_gamma 120.00
loop_
_atom_site_label
_atom_site_type_symbol
_atom_site_fract_x
_atom_site_fract_y
_atom_site_fract_z
Tb1 Tb 0.0000 0.0000 0.0000
Nd1 Nd 0.3333 0.6667 0.0000
Si1 Si 0.0000 0.3312 0.5000


[3]
# TbNdSi | Alexandria via LeMat-Bulk | GGA-PBE | relaxed
# * uncorrected energy: -64.661 eV per cell
# * total magnetic moment: 0.0 Bohr magnetons per cell
# * density of states at the Fermi level: 2.4 states/eV/f.u.
# * offset from the most stable computed form: 52 meV per atom
# * crystal system: cubic
data_TbNdSi
_symmetry_space_group_name_H-M 'F -4 3 m'
_symmetry_Int_Tables_number 216
_symmetry_space_group_name_Hall 'F -4 2 3'
_cell_length_a 7.001
_cell_length_b 7.001
_cell_length_c 7.001
_cell_angle_alpha 90.00
_cell_angle_beta 90.00
_cell_angle_gamma 90.00
loop_
_atom_site_label
_atom_site_type_symbol
_atom_site_fract_x
_atom_site_fract_y
_atom_site_fract_z
Tb1 Tb 0.000 0.000 0.000
Nd1 Nd 0.000 0.000 0.500
Si1 Si 0.250 0.250 0.250


[4]
# Tb3NdSi2 | Alexandria via LeMat-Bulk | GGA-PBE | relaxed
# * uncorrected energy: -129.925 eV per cell
# * total magnetic moment: 0.0 Bohr magnetons per cell
# * density of states at the Fermi level: 5.6 states/eV/f.u.
# * crystal system: monoclinic
data_Tb3NdSi2
_symmetry_space_group_name_H-M 'C 1 2/m 1'
_symmetry_Int_Tables_number 12
_symmetry_space_group_name_Hall '-C 2y'
_cell_length_a 17.150
_cell_length_b 4.352
_cell_length_c 9.223
_cell_angle_alpha 90.00
_cell_angle_beta 113.39
_cell_angle_gamma 90.00
loop_
_atom_site_label
_atom_site_type_symbol
_atom_site_fract_x
_atom_site_fract_y
_atom_site_fract_z
Tb1 Tb 0.048 0.000 0.197
Tb2 Tb 0.152 0.500 0.979
Tb3 Tb 0.191 0.500 0.384
Nd1 Nd 0.116 0.000 0.635
Si1 Si 0.011 0.500 0.376
Si2 Si 0.235 0.000 0.211


[5]
# Tb2NdSi | Alexandria via LeMat-Bulk | GGA-PBE | relaxed
# * uncorrected energy: -58.561 eV per cell
# * total magnetic moment: 0.0 Bohr magnetons per cell
# * density of states at the Fermi level: 5.0 states/eV/f.u.
# * offset from the most stable computed form: 232 meV per atom
# * crystal system: trigonal
data_Tb2NdSi
_symmetry_space_group_name_H-M 'R -3 m'
_symmetry_Int_Tables_number 166
_symmetry_space_group_name_Hall '-R 3 2"'
_cell_length_a 3.6130
_cell_length_b 3.6130
_cell_length_c 32.7830
_cell_angle_alpha 90.00
_cell_angle_beta 90.00
_cell_angle_gamma 120.00
loop_
_atom_site_label
_atom_site_type_symbol
_atom_site_fract_x
_atom_site_fract_y
_atom_site_fract_z
Tb1 Tb 0.0000 0.0000 0.1080
Nd1 Nd 0.0000 0.0000 0.0000
Si1 Si 0.0000 0.0000 0.5000


[6]
# TbNdSi4 | Alexandria via LeMat-Bulk | GGA-PBE | relaxed
# * uncorrected energy: -68.988 eV per cell
# * total magnetic moment: 0.0 Bohr magnetons per cell
# * density of states at the Fermi level: 2.6 states/eV/f.u.
# * crystal system: tetragonal
data_TbNdSi4
_symmetry_space_group_name_H-M 'I -4 m 2'
_symmetry_Int_Tables_number 119
_symmetry_space_group_name_Hall 'I -4 -2'
_cell_length_a 4.227
_cell_length_b 4.227
_cell_length_c 13.552
_cell_angle_alpha 90.00
_cell_angle_beta 90.00
_cell_angle_gamma 90.00
loop_
_atom_site_label
_atom_site_type_symbol
_atom_site_fract_x
_atom_site_fract_y
_atom_site_fract_z
Tb1 Tb 0.000 0.000 0.000
Nd1 Nd 0.000 0.500 0.750
Si1 Si 0.000 0.000 0.415
Si2 Si 0.000 0.500 0.163


[7]
# Tb2NdSi | Alexandria via LeMat-Bulk | GGA-PBE | relaxed
# * uncorrected energy: -20.447 eV per cell
# * total magnetic moment: 0.0 Bohr magnetons per cell
# * density of states at the Fermi level: 4.3 states/eV/f.u.
# * offset from the most stable computed form: 0 meV per atom
# * crystal system: tetragonal
data_Tb2NdSi
_symmetry_space_group_name_H-M 'P 4/m m m'
_symmetry_Int_Tables_number 123
_symmetry_space_group_name_Hall '-P 4 2'
_cell_length_a 4.706
_cell_length_b 4.706
_cell_length_c 4.676
_cell_angle_alpha 90.00
_cell_angle_beta 90.00
_cell_angle_gamma 90.00
loop_
_atom_site_label
_atom_site_type_symbol
_atom_site_fract_x
_atom_site_fract_y
_atom_site_fract_z
Tb1 Tb 0.000 0.500 0.000
Nd1 Nd 0.000 0.000 0.500
Si1 Si 0.500 0.500 0.500


[8]
# TbNd4Si4 | Alexandria via LeMat-Bulk | GGA-PBE | relaxed
# * uncorrected energy: -99.262 eV per cell
# * total magnetic moment: 0.0 Bohr magnetons per cell
# * density of states at the Fermi level: 8.6 states/eV/f.u.
# * crystal system: tetragonal
data_TbNd4Si4
_symmetry_space_group_name_H-M 'P 42/n'
_symmetry_Int_Tables_number 86
_cell_length_a 8.991
_cell_length_b 8.991
_cell_length_c 6.056
_cell_angle_alpha 90.00
_cell_angle_beta 90.00
_cell_angle_gamma 90.00
loop_
_symmetry_equiv_pos_as_xyz
'x,y,z'
'-x,-y,-z'
'-y,x+1/2,z+1/2'
'y,-x+1/2,-z+1/2'
'-x+1/2,-y+1/2,z'
'x+1/2,y+1/2,-z'
'y+1/2,-x,z+1/2'
'-y+1/2,x,-z+1/2'
loop_
_atom_site_label
_atom_site_type_symbol
_atom_site_fract_x
_atom_site_fract_y
_atom_site_fract_z
Tb1 Tb 0.250 0.250 0.250
Nd1 Nd 0.053 0.671 0.114
Si1 Si 0.010 0.618 0.601


[9]
# Tb2NdSi | Alexandria via LeMat-Bulk | GGA-PBE | relaxed
# * uncorrected energy: -60.511 eV per cell
# * total magnetic moment: 0.0 Bohr magnetons per cell
# * density of states at the Fermi level: 5.3 states/eV/f.u.
# * offset from the most stable computed form: 69 meV per atom
# * crystal system: trigonal
data_Tb2NdSi
_symmetry_space_group_name_H-M 'R 3 m'
_symmetry_Int_Tables_number 160
_symmetry_space_group_name_Hall 'R 3 -2"'
_cell_length_a 3.7852
_cell_length_b 3.7852
_cell_length_c 29.2113
_cell_angle_alpha 90.00
_cell_angle_beta 90.00
_cell_angle_gamma 120.00
loop_
_atom_site_label
_atom_site_type_symbol
_atom_site_fract_x
_atom_site_fract_y
_atom_site_fract_z
Tb1 Tb 0.0000 0.0000 0.0000
Tb2 Tb 0.0000 0.0000 0.2079
Nd1 Nd 0.0000 0.0000 0.7693
Si1 Si 0.0000 0.0000 0.6042


[10]
# TbNd5Si4 | Alexandria via LeMat-Bulk | GGA-PBE | relaxed
# * uncorrected energy: -110.089 eV per cell
# * total magnetic moment: 0.0 Bohr magnetons per cell
# * density of states at the Fermi level: 5.4 states/eV/f.u.
# * crystal system: monoclinic
data_TbNd5Si4
_symmetry_space_group_name_H-M 'C 1 2/m 1'
_symmetry_Int_Tables_number 12
_symmetry_space_group_name_Hall '-C 2y'
_cell_length_a 15.632
_cell_length_b 5.074
_cell_length_c 6.956
_cell_angle_alpha 90.00
_cell_angle_beta 90.74
_cell_angle_gamma 90.00
loop_
_atom_site_label
_atom_site_type_symbol
_atom_site_fract_x
_atom_site_fract_y
_atom_site_fract_z
Tb1 Tb 0.000 0.000 0.000
Nd1 Nd 0.000 0.000 0.500
Nd2 Nd 0.164 0.500 0.498
Nd3 Nd 0.166 0.500 0.008
Si1 Si 0.008 0.500 0.760
Si2 Si 0.175 0.000 0.250


[11]
# TbNdSi | Alexandria via LeMat-Bulk | GGA-PBE | relaxed
# * uncorrected energy: -65.286 eV per cell
# * total magnetic moment: 0.3 Bohr magnetons per cell
# * density of states at the Fermi level: 3.5 states/eV/f.u.
# * offset from the most stable computed form: 0 meV per atom
# * crystal system: monoclinic
data_TbNdSi
_symmetry_space_group_name_H-M 'C 1 2/m 1'
_symmetry_Int_Tables_number 12
_symmetry_space_group_name_Hall '-C 2y'
_cell_length_a 11.568
_cell_length_b 4.265
_cell_length_c 8.275
_cell_angle_alpha 90.00
_cell_angle_beta 126.82
_cell_angle_gamma 90.00
loop_
_atom_site_label
_atom_site_type_symbol
_atom_site_fract_x
_atom_site_fract_y
_atom_site_fract_z
Tb1 Tb 0.177 0.000 0.076
Nd1 Nd 0.086 0.500 0.360
Si1 Si 0.120 0.000 0.660


total magnetic moment of number 10 (TbNd5Si4)?
0.0 Bohr magnetons per cell


What is the density of states at the Fermi level in the second record?
6.5 states/eV/f.u.


Number 5 is which compound?
Tb2NdSi


Which of these has the lowest uncorrected energy?
Tb3NdSi2